Li6PbAu2 | GGA-PBE | optimized geometry

The calculation puts the formation energy at -395 meV per atom. The value obtained for the energy above the most stable polymorph in this dataset is 0.000 eV/atom. As for the density: 7.05 g/cm³. The calculation puts the calculated volume at 16.8 Å³ per atom.

The structure belongs to space group C2/m (No. 12); the cell edges are 5.0082, 14.3691 and 4.8364 Å and the angles 90.00°, 119.50° and 90.00°. The distinct sites, in fractional coordinates, are Li at (0.1602, 0.1726, 0.3175), Li at (0.1661, 0.0000, 0.8303), Pb at (0.0000, 0.5000, 0.5000) and Au at (0.0000, 0.3354, 0.0000).